[1]
Computed, not measured: crystalline Sc2ZnCoH at its relaxed geometry at the PBE level of DFT.

Geometry as POSCAR:
```
Sc2ZnCoH
1.0
4.5409 0.0000 0.0000
0.0000 4.5409 0.0000
0.0000 0.0000 3.3780
Sc H Zn Co
2 1 1 1
Cartesian
0.0000 2.2705 0.0000 Sc
2.2705 0.0000 0.0000 Sc
0.0000 0.0000 0.0000 H
2.2705 2.2705 1.6890 Zn
0.0000 0.0000 1.6890 Co
```

Output
* density: 5.1 g/cm³
* final energy: -26.333 eV/cell
* size of the total moment: 0.00 μB per atom



[2]
Computed, not measured: crystalline Co2HSe at its relaxed geometry at the PBE level of DFT.

Geometry as POSCAR:
```
Co2HSe
1.0
-0.0346 -4.4576 -0.4948
3.9657 -0.2615 2.0788
-0.1158 -2.7783 4.7098
H Co Se
2 4 2
Cartesian
1.9655 -2.3596 0.7920 H
2.9077 -2.6997 3.7903 H
0.4493 -2.9818 1.1871 Co
2.4412 -1.9468 2.3558 Co
1.8602 -3.8846 4.3742 Co
2.8800 -6.1818 4.6705 Co
0.0000 0.0000 0.0000 Se
0.9076 -4.7978 2.5035 Se
```

Output
* density: 7.3 g/cm³
* final energy: -41.383 eV/cell
* size of the total moment: 0.26 μB per atom



[3]
Computed, not measured: crystalline Co2H2Se at its relaxed geometry at the PBE level of DFT.

Geometry as POSCAR:
```
Co2H2Se
1.0
-0.9247 0.4070 2.8010
2.4988 -1.2667 1.0090
2.9533 3.9108 1.9895
H Co Se
2 2 1
Cartesian
1.4078 1.9440 3.3477 H
3.1196 1.1071 2.4517 H
1.4429 0.8844 1.9306 Co
3.0844 2.1667 3.8689 Co
0.0000 0.0000 0.0000 Se
```

Output
* density: 7.7 g/cm³
* final energy: -23.655 eV/cell
* size of the total moment: 0.00 μB per atom



[4]
Computed, not measured: crystalline CoHSe3 at its relaxed geometry at the PBE level of DFT.

Geometry as POSCAR:
```
CoHSe3
1.0
4.2699 0.0000 0.0000
0.0000 4.2699 0.0000
0.0000 0.0000 4.2699
H Co Se
1 1 3
Cartesian
0.0000 0.0000 0.0000 H
2.1349 2.1349 2.1349 Co
0.0000 2.1349 0.0000 Se
0.0000 0.0000 2.1349 Se
2.1349 0.0000 0.0000 Se
```

Output
* density: 6.3 g/cm³
* final energy: -16.050 eV/cell
* size of the total moment: 0.39 μB per atom



[5]
Computed, not measured: crystalline CoHSe2 at its relaxed geometry at the PBE level of DFT.

Geometry as POSCAR:
```
CoHSe2
1.0
0.0000 2.9449 2.9449
2.9449 0.0000 2.9449
2.9449 2.9449 0.0000
H Co Se
1 1 2
Cartesian
0.0000 0.0000 0.0000 H
2.9449 2.9449 2.9449 Co
1.4725 1.4725 1.4725 Se
4.4174 4.4174 4.4174 Se
```

Output
* density: 7.1 g/cm³
* final energy: -15.676 eV/cell
* size of the total moment: 0.00 μB per atom



[6]
Computed, not measured: crystalline CoHSe2 at its relaxed geometry at the PBE level of DFT.

Geometry as POSCAR:
```
CoHSe2
1.0
5.1231 0.0000 0.0000
0.0000 5.1231 0.0000
2.5615 2.5615 4.9293
H Co Se
2 2 4
Cartesian
2.5615 2.5615 0.0000 H
2.5615 5.1231 2.4647 H
0.0000 0.0000 0.0000 Co
5.1231 2.5615 2.4647 Co
3.7667 1.2808 1.2323 Se
1.3564 3.8423 1.2323 Se
3.8423 3.9180 3.6970 Se
6.4039 6.3282 3.6970 Se
```

Output
* density: 5.6 g/cm³
* final energy: -33.224 eV/cell
* size of the total moment: 0.00 μB per atom



[7]
Computed, not measured: crystalline CoHSe2 at its relaxed geometry at the PBE level of DFT.

Geometry as POSCAR:
```
CoHSe2
1.0
-0.6591 -1.3098 6.0594
1.3161 -3.9843 4.6108
2.8857 -0.8281 5.4638
H Co Se
1 1 2
Cartesian
0.0000 0.0000 0.0000 H
1.7713 -3.0611 8.0670 Co
3.1860 -5.5058 14.5098 Se
0.3566 -0.6163 1.6242 Se
```

Output
* density: 5.4 g/cm³
* final energy: -17.953 eV/cell
* size of the total moment: 0.00 μB per atom



[8]
Computed, not measured: crystalline Co2HSe at its relaxed geometry at the PBE level of DFT.

Geometry as POSCAR:
```
Co2HSe
1.0
0.0000 2.7455 2.7455
2.7455 0.0000 2.7455
2.7455 2.7455 0.0000
H Co Se
1 2 1
Cartesian
0.0000 0.0000 0.0000 H
1.3727 1.3727 1.3727 Co
4.1182 4.1182 4.1182 Co
2.7455 2.7455 2.7455 Se
```

Output
* density: 7.9 g/cm³
* final energy: -19.456 eV/cell
* size of the total moment: 0.27 μB per atom



[9]
Computed, not measured: crystalline CoHSe3 at its relaxed geometry at the PBE level of DFT.

Geometry as POSCAR:
```
CoHSe3
1.0
-0.1200 -1.2237 4.5599
-4.0407 -2.3326 -0.7324
2.4420 -3.9199 -0.9877
H Co Se
1 1 3
Cartesian
-0.8594 -3.7381 1.4199 H
0.0000 0.0000 0.0000 Co
-2.0203 -1.1663 -0.3662 Se
1.2210 -1.9600 -0.4938 Se
-0.0600 -0.6119 2.2799 Se
```

Output
* density: 4.7 g/cm³
* final energy: -16.773 eV/cell
* size of the total moment: 0.49 μB per atom



[10]
Computed, not measured: crystalline Co2H2Se at its relaxed geometry at the PBE level of DFT.

Geometry as POSCAR:
```
Co2H2Se
1.0
6.1777 0.0000 0.0000
0.0000 6.1777 0.0000
0.0000 0.0000 2.6105
H Co Se
4 4 2
Cartesian
0.5400 3.6288 1.3052 H
3.6288 5.6378 1.3052 H
5.6378 2.5489 1.3052 H
2.5489 0.5400 1.3052 H
2.3049 5.3938 0.0000 Co
5.3938 3.8728 0.0000 Co
3.8728 0.7840 0.0000 Co
0.7840 2.3049 0.0000 Co
0.0000 0.0000 0.0000 Se
3.0889 3.0889 0.0000 Se
```

Output
* density: 6.6 g/cm³
* final energy: -44.834 eV/cell
* size of the total moment: 0.44 μB per atom



[11]
Computed, not measured: crystalline CoHSe2 at its relaxed geometry at the PBE level of DFT.

Geometry as POSCAR:
```
CoHSe2
1.0
1.6974 0.0000 7.4981
-0.8487 1.4700 7.4981
-0.8487 -1.4700 7.4981
H Co Se
1 1 2
Cartesian
0.0000 0.0000 11.2471 H
0.0000 0.0000 0.0000 Co
0.0000 0.0000 20.2600 Se
0.0000 0.0000 2.2342 Se
```

Output
* density: 6.4 g/cm³
* final energy: -14.467 eV/cell
* size of the total moment: 0.00 μB per atom



[12]
Computed, not measured: crystalline CoHSe2 at its relaxed geometry at the PBE level of DFT.

Geometry as POSCAR:
```
CoHSe2
1.0
-1.6772 -2.5983 1.8441
5.2177 -3.5551 -0.2665
-3.2951 2.3521 7.2772
Co H Se
2 2 4
Cartesian
2.0642 -2.3929 4.2955 Co
-1.2816 -1.9704 5.3640 Co
3.1062 -4.7629 1.9098 H
-2.3234 0.3994 7.7497 H
-0.0006 -3.5917 4.2447 Se
-1.7084 -0.5176 3.5072 Se
0.7832 -0.7716 5.4148 Se
-2.7266 -0.2907 6.4188 Se
```

Output
* density: 5.2 g/cm³
* final energy: -36.019 eV/cell
* size of the total moment: 0.00 μB per atom



[13]
Computed, not measured: crystalline TaCoHSe2 at its relaxed geometry at the PBE level of DFT.

Geometry as POSCAR:
```
TaCoHSe2
1.0
4.9857 0.0000 0.0000
0.0000 3.5791 0.0000
0.0000 0.0000 4.9857
H Co Se Ta
1 1 2 1
Cartesian
0.0000 1.7896 0.0000 H
2.4928 1.7896 2.4928 Co
0.0000 0.0000 2.4928 Se
2.4928 0.0000 0.0000 Se
0.0000 0.0000 0.0000 Ta
```

Output
* density: 7.4 g/cm³
* final energy: -27.640 eV/cell
* size of the total moment: 0.42 μB per atom



[14]
Computed, not measured: crystalline CoSi2H at its relaxed geometry at the PBE level of DFT.

Geometry as POSCAR:
```
CoSi2H
1.0
4.1371 0.0000 0.0000
0.0000 4.1371 0.0000
2.0685 2.0685 5.6528
H Si Co
2 4 2
Cartesian
2.0685 2.0685 0.0000 H
2.0685 4.1371 2.8264 H
2.7576 1.0343 1.4132 Si
1.3795 3.1028 1.4132 Si
3.1028 3.4480 4.2396 Si
5.1714 4.8262 4.2396 Si
0.0000 0.0000 0.0000 Co
4.1371 2.0685 2.8264 Co
```

Output
* density: 4.0 g/cm³
* final energy: -39.325 eV/cell
* size of the total moment: 0.00 μB per atom



[15]
Computed, not measured: crystalline CoSi3H at its relaxed geometry at the PBE level of DFT.

Geometry as POSCAR:
```
CoSi3H
1.0
-0.8424 -1.0796 -3.5243
-3.2073 -1.5667 1.2466
-1.8163 3.2673 -0.5667
H Si Co
1 3 1
Cartesian
0.0000 0.0000 0.0000 H
-1.6037 -0.7834 0.6233 Si
-0.9082 1.6337 -0.2834 Si
-0.4212 -0.5398 -1.7621 Si
-2.9330 0.3105 -1.4222 Co
```

Output
* density: 4.4 g/cm³
* final energy: -24.275 eV/cell
* size of the total moment: 0.00 μB per atom



[16]
Computed, not measured: crystalline Co4Si2H at its relaxed geometry at the PBE level of DFT.

Geometry as POSCAR:
```
Co4Si2H
1.0
3.4783 0.0000 0.0000
0.0000 3.4783 0.0000
1.7391 1.7391 5.7605
H Si Co
1 2 4
Cartesian
0.0000 0.0000 0.0000 H
1.7391 1.7391 1.5665 Si
3.4783 3.4783 4.1939 Si
1.7391 1.7391 3.7848 Co
3.4783 3.4783 1.9756 Co
0.0000 1.7391 0.0000 Co
1.7391 0.0000 0.0000 Co
```

Output
* density: 7.0 g/cm³
* final energy: -44.586 eV/cell
* size of the total moment: 0.15 μB per atom



[17]
Computed, not measured: crystalline CoSi2H at its relaxed geometry at the PBE level of DFT.

Geometry as POSCAR:
```
CoSi2H
1.0
0.0000 2.7168 2.7168
2.7168 0.0000 2.7168
2.7168 2.7168 0.0000
H Si Co
1 2 1
Cartesian
0.0000 0.0000 0.0000 H
1.3584 1.3584 1.3584 Si
4.0753 4.0753 4.0753 Si
2.7168 2.7168 2.7168 Co
```

Output
* density: 4.8 g/cm³
* final energy: -20.399 eV/cell
* size of the total moment: 0.06 μB per atom



[18]
Computed, not measured: crystalline CoSiH3 at its relaxed geometry at the PBE level of DFT.

Geometry as POSCAR:
```
CoSiH3
1.0
-1.7065 -2.5658 -1.4365
2.5400 -0.4493 -2.2149
1.4817 -2.1849 2.1424
H Si Co
3 1 1
Cartesian
1.2700 -0.2247 -1.1074 H
0.7408 -1.0925 1.0712 H
-0.8533 -1.2829 -0.7183 H
0.0000 0.0000 0.0000 Si
1.1576 -2.6000 -0.7545 Co
```

Output
* density: 3.8 g/cm³
* final energy: -18.344 eV/cell
* size of the total moment: 0.33 μB per atom



[19]
Computed, not measured: crystalline CoSiH3 at its relaxed geometry at the PBE level of DFT.

Geometry as POSCAR:
```
CoSiH3
1.0
3.3161 0.0000 0.0000
0.0000 3.3161 0.0000
0.0000 0.0000 3.3161
H Si Co
3 1 1
Cartesian
0.0000 1.6581 0.0000 H
0.0000 0.0000 1.6581 H
1.6581 0.0000 0.0000 H
1.6581 1.6581 1.6581 Si
0.0000 0.0000 0.0000 Co
```

Output
* density: 4.1 g/cm³
* final energy: -20.630 eV/cell
* size of the total moment: 0.00 μB per atom



[20]
Computed, not measured: crystalline CoSi3H at its relaxed geometry at the PBE level of DFT.

Geometry as POSCAR:
```
CoSi3H
1.0
4.2690 0.0000 0.0000
0.0000 4.2690 0.0000
0.0000 0.0000 4.2690
H Si Co
1 3 1
Cartesian
2.1345 2.1345 2.1345 H
0.0000 2.1345 0.0000 Si
0.0000 0.0000 2.1345 Si
2.1345 0.0000 0.0000 Si
0.0000 0.0000 0.0000 Co
```

Output
* density: 3.1 g/cm³
* final energy: -23.774 eV/cell
* size of the total moment: 0.00 μB per atom